No. 1
# Rb2MgAgBr6

Crystalline Rb2MgAgBr6 at its relaxed geometry (PBE, Alexandria via LeMat-Bulk).

## Properties
uncorrected energy = -2.805 eV per atom
space-group type = I4/mmm (139)

abc: 7.698 7.698 7.698
angles: 119.43 119.43 90.99
Atoms (fractional coordinates):
Rb 0.250 0.750 0.500
Rb 0.750 0.250 0.500
Mg 0.000 0.000 0.000
Ag 0.500 0.500 0.000
Br 0.242 0.242 0.484
Br 0.242 0.758 0.000
Br 0.255 0.255 0.000
Br 0.745 0.745 0.000
Br 0.758 0.242 0.000
Br 0.758 0.758 0.516



No. 2
# Rb3MgAg3Br8

Crystalline Rb3MgAg3Br8 at its relaxed geometry (PBE, Alexandria via LeMat-Bulk).

## Properties
uncorrected energy = -2.846 eV per atom
space-group type = C2/m (12)

abc: 8.721 8.721 9.240
angles: 118.17 118.17 58.30
Atoms (fractional coordinates):
Rb 0.000 0.000 0.000
Rb 0.000 0.500 0.000
Rb 0.500 0.000 0.000
Mg 0.000 0.000 0.500
Ag 0.000 0.500 0.500
Ag 0.500 0.000 0.500
Ag 0.500 0.500 0.500
Br 0.216 0.216 0.687
Br 0.226 0.756 0.695
Br 0.244 0.774 0.305
Br 0.264 0.264 0.306
Br 0.736 0.736 0.694
Br 0.756 0.226 0.695
Br 0.774 0.244 0.305
Br 0.784 0.784 0.313



No. 3
# Rb3MgAg2Br9

Crystalline Rb3MgAg2Br9 at its relaxed geometry (PBE, Alexandria via LeMat-Bulk).

## Properties
uncorrected energy = -2.756 eV per atom
space-group type = P-3m1 (164)

abc: 7.678 7.678 9.439
angles: 90.00 90.00 120.00
Atoms (fractional coordinates):
Rb 0.000 0.000 0.000
Rb 0.333 0.667 0.659
Rb 0.667 0.333 0.341
Mg 0.000 0.000 0.500
Ag 0.333 0.667 0.165
Ag 0.667 0.333 0.835
Br 0.000 0.500 0.000
Br 0.164 0.329 0.335
Br 0.164 0.836 0.335
Br 0.329 0.164 0.665
Br 0.500 0.000 0.000
Br 0.500 0.500 0.000
Br 0.671 0.836 0.335
Br 0.836 0.164 0.665
Br 0.836 0.671 0.665



No. 4
# MgAgSe2Br

Crystalline MgAgSe2Br at its relaxed geometry (PBE, Alexandria via LeMat-Bulk).

## Properties
uncorrected energy = -2.630 eV per atom
space-group type = P4/mmm (123)

abc: 5.085 5.085 5.298
angles: 90.00 90.00 90.00
Atoms (fractional coordinates):
Mg 0.000 0.000 0.000
Ag 0.500 0.500 0.500
Se 0.000 0.500 0.000
Se 0.500 0.000 0.000
Br 0.000 0.000 0.500



No. 5
# MgAg2SnBr6

Crystalline MgAg2SnBr6 at its relaxed geometry (PBE, Alexandria via LeMat-Bulk).

## Properties
uncorrected energy = -2.897 eV per atom
space-group type = R3 (146)

abc: 7.743 7.743 7.743
angles: 55.47 55.47 55.47
Atoms (fractional coordinates):
Mg 0.000 0.000 0.000
Ag 0.315 0.315 0.315
Ag 0.802 0.802 0.802
Sn 0.505 0.505 0.505
Br 0.089 0.384 0.748
Br 0.210 0.920 0.612
Br 0.384 0.748 0.089
Br 0.612 0.210 0.920
Br 0.748 0.089 0.384
Br 0.920 0.612 0.210



No. 6
# SrMgAg2Br6

Crystalline SrMgAg2Br6 at its relaxed geometry (PBE, Alexandria via LeMat-Bulk).

## Properties
uncorrected energy = -3.058 eV per atom
space-group type = C2/c (15)

abc: 9.634 9.634 7.838
angles: 106.32 106.32 78.87
Atoms (fractional coordinates):
Sr 0.147 0.853 0.750
Sr 0.853 0.147 0.250
Mg 0.182 0.818 0.250
Mg 0.818 0.182 0.750
Ag 0.380 0.461 0.835
Ag 0.461 0.380 0.335
Ag 0.539 0.620 0.665
Ag 0.620 0.539 0.165
Br 0.052 0.174 0.655
Br 0.135 0.622 0.958
Br 0.174 0.052 0.155
Br 0.247 0.497 0.497
Br 0.378 0.865 0.542
Br 0.497 0.247 0.997
Br 0.503 0.753 0.003
Br 0.622 0.135 0.458
Br 0.753 0.503 0.503
Br 0.826 0.948 0.845
Br 0.865 0.378 0.042
Br 0.948 0.826 0.345



No. 7
# SrMgAg2Br

Crystalline SrMgAg2Br at its relaxed geometry (PBE, Alexandria via LeMat-Bulk).

## Properties
uncorrected energy = -2.239 eV per atom
space-group type = P4/mmm (123)

abc: 4.980 4.980 6.770
angles: 90.00 90.00 90.00
Atoms (fractional coordinates):
Sr 0.000 0.000 0.000
Mg 0.000 0.000 0.500
Ag 0.000 0.500 0.500
Ag 0.500 0.000 0.500
Br 0.500 0.500 0.000



No. 8
# MgTlAgBr4

Crystalline MgTlAgBr4 at its relaxed geometry (PBE, Alexandria via LeMat-Bulk).

## Properties
uncorrected energy = -2.863 eV per atom
space-group type = P2_1/m (11)

abc: 6.853 8.047 8.819
angles: 90.00 102.58 90.00
Atoms (fractional coordinates):
Mg 0.220 0.250 0.322
Mg 0.780 0.750 0.678
Tl 0.200 0.750 0.065
Tl 0.800 0.250 0.935
Ag 0.285 0.750 0.653
Ag 0.715 0.250 0.347
Br 0.028 0.512 0.728
Br 0.028 0.988 0.728
Br 0.383 0.250 0.091
Br 0.495 0.250 0.563
Br 0.505 0.750 0.437
Br 0.617 0.750 0.909
Br 0.972 0.012 0.272
Br 0.972 0.488 0.272



Which formula does entry 8 have? MgTlAgBr4



Among the records above, which one has the lowest uncorrected energy? SrMgAg2Br6



uncorrected energy of number 8 (MgTlAgBr4)? -2.863 eV per atom